Entry 1:
K2AuCl | GGA-PBE | relaxed

Cell and atoms, written as POSCAR:
```
K2AuCl
1.0
-4.157 4.157 4.770
4.157 -4.157 4.770
4.157 4.157 -4.770
K Au Cl
4 2 2
Direct
0.099 0.625 0.974
0.375 0.349 0.474
0.651 0.125 0.026
0.875 0.901 0.526
0.250 0.750 0.500
0.500 0.500 0.000
0.000 0.000 0.000
0.750 0.250 0.500
```

Computed properties:
Formation energy from raw total energies (meV per atom): -1016
Space-group type: I-42d

=====

Entry 2:
ReTeI2 | GGA-PBE | relaxed

Cell and atoms, written as POSCAR:
```
ReTeI2
1.0
0.000 3.771 3.771
3.771 0.000 3.771
3.771 3.771 0.000
Re Te I
1 1 2
Direct
0.000 0.000 0.000
0.500 0.500 0.500
0.250 0.250 0.250
0.750 0.750 0.750
```

Computed properties:
Formation energy from raw total energies (meV per atom): 1496
Space-group type: Fm-3m

=====

Entry 3:
Y6Tl5Ru | GGA-PBE | relaxed

Cell and atoms, written as POSCAR:
```
Y6Tl5Ru
1.0
8.296 -3.761 0.000
8.296 3.761 0.000
-1.695 0.000 5.033
Y Tl Ru
6 5 1
Direct
0.079 0.613 0.346
0.227 0.773 0.000
0.387 0.921 0.654
0.613 0.079 0.346
0.773 0.227 0.000
0.921 0.387 0.654
0.179 0.179 0.179
0.335 0.335 0.836
0.500 0.500 0.500
0.665 0.665 0.164
0.821 0.821 0.821
0.000 0.000 0.500
```

Computed properties:
DFT formation energy (eV per atom): -0.365
Space-group type: C2/m

=====

Entry 4:
PrNdY3Er | GGA-PBE | relaxed

Cell and atoms, written as POSCAR:
```
PrNdY3Er
1.0
2.549 -7.644 0.000
2.549 7.644 0.000
0.000 0.000 10.197
Pr Nd Y Er
2 2 6 2
Direct
0.001 0.999 0.750
0.999 0.001 0.250
0.500 0.500 0.000
0.500 0.500 0.500
0.168 0.832 0.000
0.168 0.832 0.500
0.332 0.668 0.750
0.668 0.332 0.250
0.832 0.168 0.000
0.832 0.168 0.500
0.332 0.668 0.250
0.668 0.332 0.750
```

Computed properties:
DFT formation energy (eV per atom): 0.023
Space-group type: Cmcm

=====

Entry 5:
CoSiBN2 | GGA-PBE | relaxed

Cell and atoms, written as POSCAR:
```
CoSiBN2
1.0
3.475 0.000 0.000
0.000 3.475 0.000
0.000 0.000 4.219
Co Si B N
1 1 1 2
Direct
0.000 0.000 0.000
0.500 0.500 0.500
0.500 0.500 0.000
0.000 0.500 0.500
0.500 0.000 0.500
```

Computed properties:
Formation energy from raw total energies (meV per atom): 1263
Space-group type: P4/mmm

=====

Entry 6:
CaTlH2 | GGA-PBE | relaxed

Cell and atoms, written as POSCAR:
```
CaTlH2
1.0
-2.629 2.629 5.679
2.629 -2.629 5.679
2.629 2.629 -5.679
Ca Tl H
2 2 4
Direct
0.000 0.000 0.000
0.750 0.250 0.500
0.250 0.750 0.500
0.500 0.500 0.000
0.047 0.625 0.922
0.375 0.297 0.422
0.703 0.125 0.078
0.875 0.953 0.578
```

Computed properties:
Space-group type: I-42d
Uncorrected energy (eV for the cell shown): -22.775

=====

Entry 7:
Tl2TcSe | GGA-PBE | relaxed

Cell and atoms, written as POSCAR:
```
Tl2TcSe
1.0
-1.577 2.016 7.835
1.577 -2.016 7.835
1.577 2.016 -7.835
Tl Tc Se
2 1 1
Direct
0.172 0.172 0.000
0.828 0.828 0.000
0.000 0.500 0.500
0.500 0.000 0.500
```

Computed properties:
Formation energy from raw total energies (meV per atom): 279
Space-group type: Immm

=====

Entry 8:
SbSe | GGA-PBE | relaxed

Cell and atoms, written as POSCAR:
```
SbSe
1.0
5.128 0.000 0.000
-2.564 4.441 0.000
0.000 0.000 11.684
Sb Se
4 4
Direct
0.000 0.000 0.000
0.000 0.000 0.500
0.333 0.667 0.252
0.667 0.333 0.752
0.000 0.000 0.227
0.000 0.000 0.727
0.333 0.667 0.027
0.667 0.333 0.527
```

Computed properties:
Formation energy from raw total energies (meV per atom): 97
Space-group type: P6_3mc

=====

Entry 9:
CrAsBr2 | GGA-PBE | relaxed

Cell and atoms, written as POSCAR:
```
CrAsBr2
1.0
3.212 0.000 0.000
0.000 3.212 0.000
0.000 0.000 10.200
Cr As Br
1 1 2
Direct
0.000 0.000 0.000
0.000 0.000 0.500
0.500 0.500 0.161
0.500 0.500 0.839
```

Computed properties:
Formation energy from raw total energies (meV per atom): 312
Space-group type: P4/mmm

=====

Entry 10:
Be2RhBr | GGA-PBE | relaxed

Cell and atoms, written as POSCAR:
```
Be2RhBr
1.0
3.125 -1.803 0.000
3.125 1.803 0.000
-0.010 0.000 5.442
Be Rh Br
2 1 1
Direct
0.000 0.000 0.000
0.667 0.667 0.088
0.334 0.334 0.229
0.001 0.001 0.586
```

Computed properties:
Formation energy from raw total energies (meV per atom): -185
Space-group type: Cm

=====

Entry 11:
NbCSN2 | GGA-PBE | relaxed

Cell and atoms, written as POSCAR:
```
NbCSN2
1.0
3.660 0.000 0.000
0.000 3.660 0.000
0.000 0.000 3.680
Nb C S N
1 1 1 2
Direct
0.000 0.000 0.000
0.500 0.500 0.500
0.500 0.500 0.000
0.000 0.500 0.500
0.500 0.000 0.500
```

Computed properties:
Formation energy from raw total energies (meV per atom): 1533
Space-group type: P4/mmm

=====

Entry 12:
Pr3Ge2Pd7 | GGA-PBE | relaxed

Cell and atoms, written as POSCAR:
```
Pr3Ge2Pd7
1.0
-2.075 2.075 14.020
2.075 -2.075 14.020
2.075 2.075 -14.020
Pr Ge Pd
3 2 7
Direct
0.000 0.000 0.000
0.174 0.174 0.000
0.826 0.826 0.000
0.372 0.372 0.000
0.628 0.628 0.000
0.078 0.578 0.500
0.281 0.281 0.000
0.422 0.922 0.500
0.500 0.500 0.000
0.578 0.078 0.500
0.719 0.719 0.000
0.922 0.422 0.500
```

Computed properties:
DFT formation energy (eV per atom): -0.744
Space-group type: I4/mmm

=====

Entry 13:
CrSbBr2 | GGA-PBE | relaxed

Cell and atoms, written as POSCAR:
```
CrSbBr2
1.0
5.297 0.000 0.000
0.000 5.297 0.000
0.000 0.000 3.576
Cr Sb Br
1 1 2
Direct
0.000 0.000 0.000
0.500 0.500 0.000
0.000 0.500 0.500
0.500 0.000 0.500
```

Computed properties:
Formation energy from raw total energies (meV per atom): 378
Space-group type: P4/mmm

=====

Entry 14:
ZrSc2Si | GGA-PBE | relaxed

Cell and atoms, written as POSCAR:
```
ZrSc2Si
1.0
-1.909 2.238 4.769
1.909 -2.238 4.769
1.909 2.238 -4.769
Zr Sc Si
1 2 1
Direct
0.000 0.000 0.000
0.281 0.781 0.500
0.562 0.562 0.000
0.781 0.281 0.500
```

Computed properties:
Formation energy from raw total energies (meV per atom): -345
Space-group type: Imm2

=====

Entry 15:
CsHgH | GGA-PBE | relaxed

Cell and atoms, written as POSCAR:
```
CsHgH
1.0
5.340 -3.270 0.000
5.340 3.270 0.000
-4.353 0.000 5.254
Cs Hg H
2 2 2
Direct
0.000 0.000 0.000
0.500 0.500 0.500
0.242 0.242 0.760
0.758 0.758 0.240
0.000 0.500 0.000
0.500 0.000 0.000
```

Computed properties:
Space-group type: C2/m
Uncorrected energy (eV for the cell shown): -9.795

=====

Entry 16:
Tm4Te3Ir | GGA-PBE | relaxed

Cell and atoms, written as POSCAR:
```
Tm4Te3Ir
1.0
5.969 0.000 0.000
0.000 9.854 0.000
0.000 0.000 9.077
Tm Te Ir
8 6 2
Direct
0.250 0.042 0.192
0.250 0.250 0.651
0.250 0.458 0.192
0.250 0.750 0.639
0.750 0.250 0.361
0.750 0.542 0.808
0.750 0.750 0.349
0.750 0.958 0.808
0.250 0.000 0.852
0.250 0.500 0.852
0.250 0.750 0.298
0.750 0.000 0.148
0.750 0.250 0.702
0.750 0.500 0.148
0.250 0.250 0.366
0.750 0.750 0.634
```

Computed properties:
Formation energy from raw total energies (meV per atom): -875
Space-group type: Pmmn

=====

Entry 17:
Cd2GaTePt | GGA-PBE | relaxed

Cell and atoms, written as POSCAR:
```
Cd2GaTePt
1.0
4.875 0.000 0.000
0.000 4.875 0.000
0.000 0.000 5.612
Cd Ga Te Pt
2 1 1 1
Direct
0.000 0.500 0.000
0.500 0.000 0.000
0.000 0.000 0.000
0.000 0.000 0.500
0.500 0.500 0.500
```

Computed properties:
Formation energy from raw total energies (meV per atom): 662
Space-group type: P4/mmm

=====

Entry 18:
ErCu2I6 | GGA-PBE | relaxed

Cell and atoms, written as POSCAR:
```
ErCu2I6
1.0
8.272 -6.408 0.000
8.272 6.408 0.000
-1.213 0.000 7.275
Er Cu I
2 4 12
Direct
0.092 0.908 0.750
0.908 0.092 0.250
0.309 0.467 0.691
0.467 0.309 0.191
0.533 0.691 0.809
0.691 0.533 0.309
0.032 0.183 0.619
0.134 0.632 0.863
0.183 0.032 0.119
0.285 0.470 0.347
0.368 0.866 0.637
0.470 0.285 0.847
0.530 0.715 0.153
0.632 0.134 0.363
0.715 0.530 0.653
0.817 0.968 0.881
0.866 0.368 0.137
0.968 0.817 0.381
```

Computed properties:
Formation energy from raw total energies (meV per atom): -647
Space-group type: C2/c

=====

Entry 19:
Mn6GePd12 | GGA-PBE | relaxed

Cell and atoms, written as POSCAR:
```
Mn6GePd12
1.0
4.995 2.884 3.192
-4.995 2.884 3.192
0.000 -5.767 3.192
Mn Ge Pd
6 1 12
Direct
0.016 0.791 0.210
0.209 0.790 0.984
0.210 0.016 0.791
0.790 0.984 0.209
0.791 0.210 0.016
0.984 0.209 0.790
0.500 0.500 0.500
0.146 0.438 0.162
0.162 0.146 0.438
0.168 0.639 0.587
0.361 0.413 0.832
0.413 0.832 0.361
0.438 0.162 0.146
0.562 0.838 0.854
0.587 0.168 0.639
0.639 0.587 0.168
0.832 0.361 0.413
0.838 0.854 0.562
0.854 0.562 0.838
```

Computed properties:
DFT formation energy (eV per atom): 0.132
Space-group type: R-3

=====

Entry 20:
La6Sb3TeSe2 | GGA-PBE | relaxed

Cell and atoms, written as POSCAR:
```
La6Sb3TeSe2
1.0
9.835 -2.266 0.000
9.835 2.266 0.000
-2.011 0.000 8.790
La Sb Te Se
6 3 1 2
Direct
0.004 0.004 0.257
0.330 0.330 0.908
0.331 0.331 0.422
0.669 0.669 0.578
0.670 0.670 0.092
0.996 0.996 0.743
0.164 0.164 0.832
0.500 0.500 0.500
0.836 0.836 0.168
0.500 0.500 0.000
0.168 0.168 0.334
0.832 0.832 0.666
```

Computed properties:
Formation energy from raw total energies (meV per atom): -1580
Space-group type: C2/m